Here is LiSi2Ru after structural relaxation from Alexandria via LeMat-Bulk. Energies are from PBE.

Cell: 2.965 4.752 8.253 Å, 90.00 90.00 90.00°
Space group Cmmm (No. 65)
Asymmetric unit:
Li1 0.000 0.000 0.000 x2
Si1 0.000 0.500 0.267 x4
Ru1 0.000 0.000 0.500 x2

The calculation puts the calculated total energy at -5.5867 eV per atom. As for the crystal system: orthorhombic. Its raw formation energy is -30.0 kJ/mol of formula units. The calculation puts the energy above the lowest structure with this stoichiometry at 270.2 meV per atom.